Entry 1:
Y2AlAu2 at its PBEsol-relaxed geometry, computed with meta-GGA SCAN.

Density = 9.10 g/cm3
Formation energy from the elements = -1.00 eV per atom

a b c (Å): 7.552 7.552 3.831
angles (deg): 90.00 90.00 90.00
Sites, in units of the cell vectors:
Y: 0.171 0.329 0.000
Y: 0.329 0.829 0.000
Y: 0.671 0.171 0.000
Y: 0.829 0.671 0.000
Al: 0.000 0.000 0.500
Al: 0.500 0.500 0.500
Au: 0.133 0.633 0.500
Au: 0.367 0.133 0.500
Au: 0.633 0.867 0.500
Au: 0.867 0.367 0.500

Entry 2:
YAl2Au at its PBEsol-relaxed geometry, computed with meta-GGA SCAN.

Density = 6.98 g/cm3
Formation energy from the elements = -0.36 eV per atom

a b c (Å): 5.581 5.581 5.581
angles (deg): 136.67 136.67 62.95
Sites, in units of the cell vectors:
Y: 0.000 0.000 0.000
Al: 0.250 0.750 0.500
Al: 0.750 0.250 0.500
Au: 0.500 0.500 0.000

Entry 3:
Y2Al2Au at its PBEsol-relaxed geometry, computed with meta-GGA SCAN.

Density = 6.65 g/cm3
Formation energy from the elements = -0.76 eV per atom

a b c (Å): 6.790 6.790 4.643
angles (deg): 90.00 90.00 90.00
Sites, in units of the cell vectors:
Y: 0.170 0.330 0.000
Y: 0.330 0.830 0.000
Y: 0.670 0.170 0.000
Y: 0.830 0.670 0.000
Al: 0.136 0.636 0.500
Al: 0.364 0.136 0.500
Al: 0.636 0.864 0.500
Al: 0.864 0.364 0.500
Au: 0.000 0.000 0.500
Au: 0.500 0.500 0.500

Entry 4:
AlZn2Au at its PBEsol-relaxed geometry, computed with meta-GGA SCAN.

Density = 9.56 g/cm3
Formation energy from the elements = -0.24 eV per atom

a b c (Å): 3.421 3.421 5.264
angles (deg): 90.00 90.00 90.00
Sites, in units of the cell vectors:
Al: 0.000 0.000 0.000
Zn: 0.000 0.000 0.506
Zn: 0.500 0.500 0.729
Au: 0.500 0.500 0.229

Entry 5:
Al2ZnAu at its PBEsol-relaxed geometry, computed with meta-GGA SCAN.

Density = 8.21 g/cm3
Formation energy from the elements = -0.17 eV per atom

a b c (Å): 8.483 8.483 8.483
angles (deg): 20.25 20.25 20.25
Sites, in units of the cell vectors:
Al: 0.000 0.000 0.000
Al: 0.246 0.246 0.246
Zn: 0.748 0.748 0.748
Au: 0.499 0.499 0.499

Entry 6:
AlZn2Au at its PBEsol-relaxed geometry, computed with meta-GGA SCAN.

Density = 9.46 g/cm3
Formation energy from the elements = -0.20 eV per atom

a b c (Å): 4.543 4.543 3.231
angles (deg): 90.00 90.00 110.96
Sites, in units of the cell vectors:
Al: 0.000 0.000 0.000
Zn: 0.000 0.500 0.500
Zn: 0.500 0.000 0.500
Au: 0.500 0.500 0.000

Entry 7:
Al2ZnAu at its PBEsol-relaxed geometry, computed with meta-GGA SCAN.

Density = 8.36 g/cm3
Formation energy from the elements = -0.22 eV per atom

a b c (Å): 4.899 4.899 4.899
angles (deg): 132.43 132.43 69.55
Sites, in units of the cell vectors:
Al: 0.000 0.000 0.000
Al: 0.750 0.250 0.500
Zn: 0.250 0.750 0.500
Au: 0.500 0.500 0.000

Entry 8:
Zr3AlAu2 at its PBEsol-relaxed geometry, computed with meta-GGA SCAN.

Density = 10.06 g/cm3
Formation energy from the elements = -0.70 eV per atom

a b c (Å): 8.655 8.655 8.655
angles (deg): 60.00 60.00 60.00
Sites, in units of the cell vectors:
Zr: 0.072 0.072 0.678
Zr: 0.072 0.678 0.072
Zr: 0.072 0.678 0.678
Zr: 0.322 0.322 0.928
Zr: 0.322 0.928 0.322
Zr: 0.322 0.928 0.928
Zr: 0.678 0.072 0.072
Zr: 0.678 0.072 0.678
Zr: 0.678 0.678 0.072
Zr: 0.928 0.322 0.322
Zr: 0.928 0.322 0.928
Zr: 0.928 0.928 0.322
Al: 0.000 0.500 0.500
Al: 0.500 0.000 0.500
Al: 0.500 0.500 0.000
Al: 0.500 0.500 0.500
Au: 0.288 0.288 0.288
Au: 0.288 0.288 0.637
Au: 0.288 0.637 0.288
Au: 0.363 0.712 0.712
Au: 0.637 0.288 0.288
Au: 0.712 0.363 0.712
Au: 0.712 0.712 0.363
Au: 0.712 0.712 0.712

Entry 9:
ZrAl2Au2 at its PBEsol-relaxed geometry, computed with meta-GGA SCAN.

Density = 9.96 g/cm3
Formation energy from the elements = -0.75 eV per atom

a b c (Å): 6.439 6.439 6.439
angles (deg): 144.42 144.42 51.21
Sites, in units of the cell vectors:
Zr: 0.000 0.000 0.000
Al: 0.250 0.750 0.500
Al: 0.750 0.250 0.500
Au: 0.388 0.388 0.000
Au: 0.612 0.612 0.000

Entry 10:
Ba4NaAl2B8Cl3O18 at its PBEsol-relaxed geometry, computed with meta-GGA SCAN.

Formation energy (no corrections) = -2934 meV/atom
Density = 3.68 g/cm3

a b c (Å): 12.093 12.093 6.832
angles (deg): 90.00 90.00 90.00
Sites, in units of the cell vectors:
Ba: 0.019 0.279 0.000
Ba: 0.221 0.519 0.500
Ba: 0.279 0.019 0.000
Ba: 0.481 0.779 0.500
Ba: 0.519 0.221 0.500
Ba: 0.721 0.981 0.000
Ba: 0.779 0.481 0.500
Ba: 0.981 0.721 0.000
Na: 0.000 0.000 0.675
Na: 0.500 0.500 0.175
Al: 0.205 0.205 0.493
Al: 0.295 0.705 0.993
Al: 0.705 0.295 0.993
Al: 0.795 0.795 0.493
B: 0.032 0.767 0.460
B: 0.182 0.818 0.699
B: 0.232 0.768 0.366
B: 0.233 0.968 0.460
B: 0.267 0.468 0.960
B: 0.268 0.268 0.866
B: 0.318 0.318 0.199
B: 0.468 0.267 0.960
B: 0.532 0.733 0.960
B: 0.682 0.682 0.199
B: 0.732 0.732 0.866
B: 0.733 0.532 0.960
B: 0.767 0.032 0.460
B: 0.768 0.232 0.366
B: 0.818 0.182 0.699
B: 0.968 0.233 0.460
Cl: 0.000 0.000 0.062
Cl: 0.000 0.500 0.233
Cl: 0.000 0.500 0.733
Cl: 0.500 0.000 0.233
Cl: 0.500 0.000 0.733
Cl: 0.500 0.500 0.562
O: 0.060 0.800 0.648
O: 0.074 0.241 0.400
O: 0.113 0.744 0.324
O: 0.198 0.198 0.751
O: 0.198 0.802 0.904
O: 0.200 0.940 0.648
O: 0.241 0.074 0.400
O: 0.244 0.387 0.824
O: 0.248 0.248 0.076
O: 0.252 0.748 0.576
O: 0.256 0.887 0.324
O: 0.259 0.574 0.900
O: 0.300 0.440 0.148
O: 0.302 0.302 0.404
O: 0.302 0.698 0.251
O: 0.387 0.244 0.824
O: 0.426 0.741 0.900
O: 0.440 0.300 0.148
O: 0.560 0.700 0.148
O: 0.574 0.259 0.900
O: 0.613 0.756 0.824
O: 0.698 0.302 0.251
O: 0.698 0.698 0.404
O: 0.700 0.560 0.148
O: 0.741 0.426 0.900
O: 0.744 0.113 0.324
O: 0.748 0.252 0.576
O: 0.752 0.752 0.076
O: 0.756 0.613 0.824
O: 0.759 0.926 0.400
O: 0.800 0.060 0.648
O: 0.802 0.198 0.904
O: 0.802 0.802 0.751
O: 0.887 0.256 0.324
O: 0.926 0.759 0.400
O: 0.940 0.200 0.648

Entry 11:
K3Ba3Li2Al4B6O20F at its PBEsol-relaxed geometry, computed with meta-GGA SCAN.

Formation energy (no corrections) = -2941 meV/atom
Density = 3.20 g/cm3

a b c (Å): 8.763 8.763 16.440
angles (deg): 90.00 90.00 120.00
Sites, in units of the cell vectors:
K: 0.000 0.293 0.000
K: 0.000 0.293 0.500
K: 0.293 0.000 0.000
K: 0.293 0.000 0.500
K: 0.707 0.707 0.000
K: 0.707 0.707 0.500
Ba: 0.011 0.317 0.250
Ba: 0.306 0.989 0.250
Ba: 0.317 0.011 0.750
Ba: 0.683 0.694 0.250
Ba: 0.694 0.683 0.750
Ba: 0.989 0.306 0.750
Li: 0.000 0.000 0.112
Li: 0.000 0.000 0.388
Li: 0.000 0.000 0.612
Li: 0.000 0.000 0.888
Al: 0.333 0.667 0.104
Al: 0.333 0.667 0.396
Al: 0.333 0.667 0.605
Al: 0.333 0.667 0.895
Al: 0.667 0.333 0.105
Al: 0.667 0.333 0.395
Al: 0.667 0.333 0.604
Al: 0.667 0.333 0.896
B: 0.006 0.657 0.642
B: 0.006 0.657 0.858
B: 0.343 0.349 0.642
B: 0.343 0.349 0.858
B: 0.349 0.343 0.142
B: 0.349 0.343 0.358
B: 0.651 0.994 0.642
B: 0.651 0.994 0.858
B: 0.657 0.006 0.142
B: 0.657 0.006 0.358
B: 0.994 0.651 0.142
B: 0.994 0.651 0.358
O: 0.066 0.831 0.644
O: 0.066 0.831 0.856
O: 0.116 0.583 0.642
O: 0.116 0.583 0.858
O: 0.169 0.235 0.644
O: 0.169 0.235 0.856
O: 0.175 0.713 0.144
O: 0.175 0.713 0.356
O: 0.235 0.169 0.144
O: 0.235 0.169 0.356
O: 0.287 0.462 0.144
O: 0.287 0.462 0.356
O: 0.333 0.667 0.000
O: 0.333 0.667 0.500
O: 0.417 0.533 0.642
O: 0.417 0.533 0.858
O: 0.462 0.287 0.644
O: 0.462 0.287 0.856
O: 0.467 0.884 0.642
O: 0.467 0.884 0.858
O: 0.533 0.417 0.142
O: 0.533 0.417 0.358
O: 0.538 0.825 0.144
O: 0.538 0.825 0.356
O: 0.583 0.116 0.142
O: 0.583 0.116 0.358
O: 0.667 0.333 0.000
O: 0.667 0.333 0.500
O: 0.713 0.175 0.644
O: 0.713 0.175 0.856
O: 0.765 0.934 0.644
O: 0.765 0.934 0.856
O: 0.825 0.538 0.644
O: 0.825 0.538 0.856
O: 0.831 0.066 0.144
O: 0.831 0.066 0.356
O: 0.884 0.467 0.142
O: 0.884 0.467 0.358
O: 0.934 0.765 0.144
O: 0.934 0.765 0.356
F: 0.000 0.000 0.000
F: 0.000 0.000 0.500

Entry 12:
BeAlB2 at its PBEsol-relaxed geometry, computed with meta-GGA SCAN.

Density = 2.49 g/cm3
Formation energy from the elements = 0.35 eV per atom

a b c (Å): 6.822 6.822 6.822
angles (deg): 150.52 150.52 42.19
Sites, in units of the cell vectors:
Be: 0.000 0.000 0.000
Be: 0.750 0.250 0.500
Al: 0.250 0.750 0.500
Al: 0.500 0.500 0.000
B: 0.375 0.225 0.350
B: 0.775 0.125 0.150
B: 0.875 0.025 0.650
B: 0.975 0.625 0.850

Entry 13:
Be2AlB2 at its PBEsol-relaxed geometry, computed with meta-GGA SCAN.

Density = 2.45 g/cm3
Formation energy from the elements = 0.31 eV per atom

a b c (Å): 5.445 5.445 3.044
angles (deg): 90.00 90.00 90.00
Sites, in units of the cell vectors:
Be: 0.153 0.347 0.000
Be: 0.347 0.847 0.000
Be: 0.653 0.153 0.000
Be: 0.847 0.653 0.000
Al: 0.000 0.000 0.500
Al: 0.500 0.500 0.500
B: 0.106 0.606 0.500
B: 0.394 0.106 0.500
B: 0.606 0.894 0.500
B: 0.894 0.394 0.500

Entry 14:
CsBe4Al4B12O28 at its PBEsol-relaxed geometry, computed with meta-GGA SCAN.

Formation energy (no corrections) = -2772 meV/atom
Density = 3.57 g/cm3

a b c (Å): 7.354 7.354 7.354
angles (deg): 90.00 90.00 90.00
Sites, in units of the cell vectors:
Cs: 0.000 0.000 0.000
Be: 0.259 0.259 0.741
Be: 0.259 0.741 0.259
Be: 0.741 0.259 0.259
Be: 0.741 0.741 0.741
Al: 0.360 0.360 0.360
Al: 0.360 0.640 0.640
Al: 0.640 0.360 0.640
Al: 0.640 0.640 0.360
B: 0.000 0.249 0.500
B: 0.000 0.500 0.249
B: 0.000 0.500 0.751
B: 0.000 0.751 0.500
B: 0.249 0.000 0.500
B: 0.249 0.500 0.000
B: 0.500 0.000 0.249
B: 0.500 0.000 0.751
B: 0.500 0.249 0.000
B: 0.500 0.751 0.000
B: 0.751 0.000 0.500
B: 0.751 0.500 0.000
O: 0.097 0.363 0.363
O: 0.097 0.637 0.637
O: 0.136 0.136 0.597
O: 0.136 0.403 0.864
O: 0.136 0.597 0.136
O: 0.136 0.864 0.403
O: 0.363 0.097 0.363
O: 0.363 0.363 0.097
O: 0.363 0.637 0.903
O: 0.363 0.903 0.637
O: 0.381 0.381 0.619
O: 0.381 0.619 0.381
O: 0.403 0.136 0.864
O: 0.403 0.864 0.136
O: 0.597 0.136 0.136
O: 0.597 0.864 0.864
O: 0.619 0.381 0.381
O: 0.619 0.619 0.619
O: 0.637 0.097 0.637
O: 0.637 0.363 0.903
O: 0.637 0.637 0.097
O: 0.637 0.903 0.363
O: 0.864 0.136 0.403
O: 0.864 0.403 0.136
O: 0.864 0.597 0.864
O: 0.864 0.864 0.597
O: 0.903 0.363 0.637
O: 0.903 0.637 0.363

Entry 15:
Zr2BeAlB at its PBEsol-relaxed geometry, computed with meta-GGA SCAN.

Density = 4.59 g/cm3
Formation energy from the elements = 0.56 eV per atom

a b c (Å): 4.536 4.536 4.033
angles (deg): 90.00 90.00 90.00
Sites, in units of the cell vectors:
Zr: 0.000 0.500 0.000
Zr: 0.500 0.000 0.000
Be: 0.000 0.000 0.000
Al: 0.000 0.000 0.500
B: 0.500 0.500 0.500

Entry 16:
Al3BBr at its PBEsol-relaxed geometry, computed with meta-GGA SCAN.

Formation energy (no corrections) = 447 meV/atom
Density = 3.29 g/cm3

a b c (Å): 4.424 4.424 4.424
angles (deg): 90.00 90.00 90.00
Sites, in units of the cell vectors:
Al: 0.000 0.000 0.500
Al: 0.000 0.500 0.000
Al: 0.500 0.000 0.000
B: 0.000 0.000 0.000
Br: 0.500 0.500 0.500